Density functional theory data (PBE) for a relaxed structure of CrIrW2. Values from VASP.

excess energy over the best structure of this formula in the dataset	0.079	eV/f.u.
symmetry	P4mm (99)
M_tot	0.0	μB per formula unit
formation energy	69	meV per atom

The structure in Quantum ESPRESSO input format:
```
&SYSTEM
  ibrav = 0, nat = 4, ntyp = 3
/
ATOMIC_SPECIES
Ir 192.22 Ir.upf
W 183.84 W.upf
Cr 52.00 Cr.upf
CELL_PARAMETERS angstrom
2.702 0.000 0.000
0.000 2.702 0.000
0.000 0.000 8.136
ATOMIC_POSITIONS crystal
Ir 0.500 0.500 0.730
W 0.500 0.500 0.265
W 0.000 0.000 0.986
Cr 0.000 0.000 0.518
```